## Li8NiO5F (SCAN)

Data for a PBEsol-optimized structure of Li8NiO5F.

a = 5.2371 Å, b = 5.2401 Å, c = 5.6817 Å
α = 90.95°, β = 116.31°, γ = 113.81°
Last column: magnetic moment on the atom in μB.
Element x y z (fractional)
Li: 0.5681 0.0949 0.3400  0.00
Li: 0.2399 0.4646 0.3512  0.00
Li: 0.8960 0.7933 0.3632  0.00
Li: 0.4105 0.8919 0.6491  0.00
Li: 0.3302 0.6845 0.9839  0.00
Li: 0.7671 0.5239 0.6597  0.00
Li: 0.1265 0.2295 0.6628  0.01
Li: 0.7181 0.3649 0.0128  0.00
O: 0.8617 0.1022 0.2289  -0.03
O: 0.8152 0.2018 0.7544  -0.03
O: 0.1147 0.8870 0.7578  -0.03
O: 0.5007 0.5854 0.7629  0.12
O: 0.1572 0.7718 0.2264  -0.03
Ni: 0.9511 0.9622 0.9752  0.86
F: 0.5431 0.4419 0.2717  0.01

Volume: 8.28 Å³/atom
Total magnetic moment: 0.917 μB per formula unit
E above lowest polymorph: 0 meV per atom
Formation energy from raw total energies: -2.0231 eV/atom